A relaxed structure of BaHg2Pd. Source: Alexandria via LeMat-Bulk, functional PBE.

Summary:
- final energy (eV per cell) = -77.43
- DFT formation energy (meV/atom) = -490
- total magnetic moment (μB/atom) = 0.000
- mass density (g/cm³) = 9.97
- V (Å³/cell) = 859.6
- SG = Pnma

Lattice parameters (Å, degrees): 17.023 8.264 6.110 90.00 90.00 90.00
Sites, in units of the cell vectors:
Ba1 0.104 0.250 0.244
Ba2 0.139 0.750 0.467
Ba3 0.361 0.250 0.967
Ba4 0.396 0.750 0.744
Ba5 0.604 0.250 0.256
Ba6 0.639 0.750 0.033
Ba7 0.861 0.250 0.533
Ba8 0.896 0.750 0.756
Hg1 0.039 0.058 0.754
Hg2 0.039 0.442 0.754
Hg3 0.212 0.553 0.954
Hg4 0.212 0.947 0.954
Hg5 0.288 0.053 0.454
Hg6 0.288 0.447 0.454
Hg7 0.461 0.558 0.254
Hg8 0.461 0.942 0.254
Hg9 0.539 0.058 0.746
Hg10 0.539 0.442 0.746
Hg11 0.712 0.553 0.546
Hg12 0.712 0.947 0.546
Hg13 0.788 0.053 0.046
Hg14 0.788 0.447 0.046
Hg15 0.961 0.558 0.246
Hg16 0.961 0.942 0.246
Pd1 0.071 0.750 0.982
Pd2 0.187 0.250 0.724
Pd3 0.313 0.750 0.224
Pd4 0.429 0.250 0.482
Pd5 0.571 0.750 0.518
Pd6 0.687 0.250 0.776
Pd7 0.813 0.750 0.276
Pd8 0.929 0.250 0.018